Entry 1:
# Sr3CuPd

An optimized crystal structure of Sr3CuPd (PBE-GGA, Alexandria).

Properties
The distance to the lowest polymorph of the same formula comes out at 1.30 eV per formula unit. The calculated total energy comes out at -14.4 eV per formula unit. Its total moment is 0.0 μB/cell.

extended XYZ file:
```
5
Lattice="-5.579 0.304 1.711 -1.037 -5.199 -2.458 1.394 -2.650 5.018" Properties=species:S:1:pos:R:3 pbc="T T T"
Sr -0.518 -2.599 -1.229
Sr 0.697 -1.325 2.509
Sr -2.790 0.152 0.855
Cu -2.611 -3.773 2.135
Pd 0.000 0.000 0.000
```


Entry 2:
# CaHOF2

An optimized crystal structure of CaHOF2 (PBE-GGA, Alexandria).

Properties
The distance to the lowest polymorph of the same formula comes out at 0.00 eV per formula unit. The calculated total energy comes out at -22.8 eV per formula unit. Its total moment is 1.0 μB/cell.

extended XYZ file:
```
5
Lattice="-1.862 2.174 -2.798 1.871 -2.081 -2.862 -2.185 -1.916 -0.035" Properties=species:S:1:pos:R:3 pbc="T T T"
H 0.000 0.000 0.000
Ca -1.088 -0.912 -2.847
O -1.092 -0.958 -0.017
F 0.935 -1.040 -1.431
F -0.931 1.087 -1.399
```


Entry 3:
# NbV3Co

An optimized crystal structure of NbV3Co (PBE-GGA, Alexandria).

Properties
The distance to the lowest polymorph of the same formula comes out at 3.79 eV per formula unit. The calculated total energy comes out at -41.0 eV per formula unit. Its total moment is 1.0 μB/cell.

extended XYZ file:
```
5
Lattice="-2.115 3.582 1.129 -3.100 -0.934 -2.845 -2.120 -2.208 3.035" Properties=species:S:1:pos:R:3 pbc="T T T"
Nb -3.668 0.220 0.659
Co 0.000 0.000 0.000
V -1.550 -0.467 -1.422
V -1.060 -1.104 1.518
V -1.057 1.791 0.564
```


Entry 4:
# ScSi2Pb

An optimized crystal structure of ScSi2Pb (PBE-GGA, Alexandria).

Properties
The calculation puts the raw formation energy at -0.4 eV/f.u. The calculated total energy comes out at -21.2 eV per formula unit. Its total moment is 0.0 μB/cell.

extended XYZ file:
```
4
Lattice="3.900 0.000 0.000 0.000 3.512 -0.003 0.000 2.390 6.239" Properties=species:S:1:pos:R:3 pbc="T T T"
Pb 1.950 1.476 1.559
Sc 1.950 4.427 4.677
Si 0.000 2.599 5.839
Si 0.000 2.742 3.518
```